[1]
4
Lattice="5.145 0.000 0.000 2.572 4.455 0.000 2.572 1.485 4.201" Properties=species:S:1:pos:R:3 comment="PrDyHgIr, relaxed, DFT PBE-GGA" ef_kj_per_mol_atoms=-51.0 total_energy_ha_per_atom=-0.1898 pbc="T T T"
Pr 2.572 1.485 1.050
Ir 0.000 0.000 0.000
Hg 5.145 2.970 2.100
Dy 7.717 4.455 3.150

---

[2]
10
Lattice="-6.538 0.015 5.232 -4.123 -5.169 -5.138 1.504 -3.077 1.888" Properties=species:S:1:pos:R:3 comment="Sc2SnBi2, relaxed, DFT PBE-GGA" ef_kj_per_mol_atoms=-30.8 total_energy_ha_per_atom=-0.1913 pbc="T T T"
Sc -2.837 -4.862 -1.611
Sc -6.987 -5.958 -0.092
Sc -6.320 -3.370 3.594
Sc -2.171 -2.274 2.074
Bi -5.767 -4.376 -2.536
Bi -8.232 -3.360 1.082
Bi -4.895 -0.779 2.630
Bi -2.430 -1.794 -0.988
Sn 0.000 0.000 0.000
Sn -5.331 -2.577 0.047

---

[3]
7
Lattice="4.184 -0.141 -0.424 -2.097 6.810 -2.035 -1.079 -1.246 10.651" Properties=species:S:1:pos:R:3 comment="Ba2Ac3Pt2, relaxed, DFT PBE-GGA" ef_kj_per_mol_atoms=-63.6 total_energy_ha_per_atom=-0.1725 pbc="T T T"
Ba 0.605 4.786 4.412
Ba 0.403 0.638 3.780
Ac 0.000 0.000 0.000
Ac 2.269 3.369 0.389
Ac -1.261 2.054 7.804
Pt 0.876 0.079 8.641
Pt 0.132 5.345 -0.449